{"formula": "MnZnO2", "functional": "GGA+U", "state": "relaxed", "m_tot_mub_per_fu": 4.4, "total_energy_ev_per_cell": -46.16, "cell": [[1.470, -10.494, 0.000], [1.470, 10.494, 0.000], [0.000, 0.000, 3.146]], "species": ["O", "O", "O", "O", "Zn", "Zn", "Mn", "Mn"], "frac_coords": [[0.207, 0.793, 0.250], [0.104, 0.896, 0.750], [0.896, 0.104, 0.250], [0.793, 0.207, 0.750], [0.947, 0.053, 0.750], [0.053, 0.947, 0.250], [0.311, 0.689, 0.250], [0.689, 0.311, 0.750]]}